<P>
# GGA-PBE La2TcMo, relaxed
data_La2TcMo
_chemical_formula_sum 'La2 Tc1 Mo1'
_space_group_name_H-M_alt 'P 4/m m m'
_space_group_IT_number 123
_space_group_name_Hall '-P 4 2'
_cell_length_a 5.0823
_cell_length_b 5.0823
_cell_length_c 3.5955
_cell_angle_alpha 90.00
_cell_angle_beta 90.00
_cell_angle_gamma 90.00
loop_
_atom_site_label
_atom_site_type_symbol
_atom_site_fract_x
_atom_site_fract_y
_atom_site_fract_z
La1 La 0.0000 0.5000 0.0000
Tc1 Tc 0.0000 0.0000 0.5000
Mo1 Mo 0.5000 0.5000 0.5000
# Spin magnetization   1.945 μB/cell

---

<Q>
# GGA-PBE La2TcMo, relaxed
data_La2TcMo
_chemical_formula_sum 'La6 Tc3 Mo3'
_space_group_name_H-M_alt 'R -3 m'
_space_group_IT_number 166
_space_group_name_Hall '-R 3 2"'
_cell_length_a 3.4650
_cell_length_b 3.4650
_cell_length_c 27.2215
_cell_angle_alpha 90.00
_cell_angle_beta 90.00
_cell_angle_gamma 120.00
loop_
_atom_site_label
_atom_site_type_symbol
_atom_site_fract_x
_atom_site_fract_y
_atom_site_fract_z
La1 La 0.0000 0.0000 0.2466
Tc1 Tc 0.0000 0.0000 0.5000
Mo1 Mo 0.0000 0.0000 0.0000
# Spin magnetization   6.605 μB/cell

---

It is <P> that is the most stable of them.

---

<P>
# GGA-PBE La2TcMo, relaxed
data_La2TcMo
_chemical_formula_sum 'La2 Tc1 Mo1'
_space_group_name_H-M_alt 'P m m m'
_space_group_IT_number 47
_space_group_name_Hall '-P 2 2'
_cell_length_a 3.4537
_cell_length_b 4.6295
_cell_length_c 5.4093
_cell_angle_alpha 90.00
_cell_angle_beta 90.00
_cell_angle_gamma 90.00
loop_
_atom_site_label
_atom_site_type_symbol
_atom_site_fract_x
_atom_site_fract_y
_atom_site_fract_z
La1 La 0.0000 0.0000 0.0000
La2 La 0.5000 0.0000 0.5000
Tc1 Tc 0.0000 0.5000 0.5000
Mo1 Mo 0.5000 0.5000 0.0000
# Spin magnetization   0.000 μB/cell

---

<Q>
# GGA-PBE La2TcMo, relaxed
data_La2TcMo
_chemical_formula_sum 'La2 Tc1 Mo1'
_space_group_name_H-M_alt 'P 1 m 1'
_space_group_IT_number 6
_space_group_name_Hall 'P -2y'
_cell_length_a 3.3154
_cell_length_b 4.1185
_cell_length_c 7.6627
_cell_angle_alpha 90.00
_cell_angle_beta 97.85
_cell_angle_gamma 90.00
loop_
_atom_site_label
_atom_site_type_symbol
_atom_site_fract_x
_atom_site_fract_y
_atom_site_fract_z
La1 La 0.0000 0.0000 0.0000
La2 La 0.2642 0.5000 0.5976
Tc1 Tc 0.8133 0.0000 0.3575
Mo1 Mo 0.4650 0.5000 0.2440
# Spin magnetization   0.000 μB/cell

---

<R>
# GGA-PBE La2TcMo, relaxed
data_La2TcMo
_chemical_formula_sum 'La2 Tc1 Mo1'
_space_group_name_H-M_alt 'P m m 2'
_space_group_IT_number 25
_space_group_name_Hall 'P 2 -2'
_cell_length_a 3.4236
_cell_length_b 4.3332
_cell_length_c 6.2209
_cell_angle_alpha 90.00
_cell_angle_beta 90.00
_cell_angle_gamma 90.00
loop_
_atom_site_label
_atom_site_type_symbol
_atom_site_fract_x
_atom_site_fract_y
_atom_site_fract_z
La1 La 0.0000 0.0000 0.0000
La2 La 0.5000 0.5000 0.3481
Tc1 Tc 0.5000 0.5000 0.7408
Mo1 Mo 0.0000 0.0000 0.6045
# Spin magnetization   0.000 μB/cell

---

<S>
# GGA-PBE La2TcMo, relaxed
data_La2TcMo
_chemical_formula_sum 'La4 Tc2 Mo2'
_space_group_name_H-M_alt 'C m m m'
_space_group_IT_number 65
_space_group_name_Hall '-C 2 2'
_cell_length_a 3.4555
_cell_length_b 5.4016
_cell_length_c 9.3096
_cell_angle_alpha 90.00
_cell_angle_beta 90.00
_cell_angle_gamma 90.00
loop_
_atom_site_label
_atom_site_type_symbol
_atom_site_fract_x
_atom_site_fract_y
_atom_site_fract_z
La1 La 0.0000 0.0000 0.2429
Tc1 Tc 0.0000 0.5000 0.0000
Mo1 Mo 0.0000 0.5000 0.5000
# Spin magnetization   0.000 μB/cell

---

It is <Q> that is the most stable of them.

---

<P>
# GGA-PBE LaTc3Mo, relaxed
data_LaTc3Mo
_chemical_formula_sum 'La1 Tc3 Mo1'
_space_group_name_H-M_alt 'P m -3 m'
_space_group_IT_number 221
_space_group_name_Hall '-P 4 2 3'
_cell_length_a 4.7609
_cell_length_b 4.7609
_cell_length_c 4.7609
_cell_angle_alpha 90.00
_cell_angle_beta 90.00
_cell_angle_gamma 90.00
loop_
_atom_site_label
_atom_site_type_symbol
_atom_site_fract_x
_atom_site_fract_y
_atom_site_fract_z
La1 La 0.0000 0.0000 0.0000
Tc1 Tc 0.0000 0.5000 0.5000
Mo1 Mo 0.5000 0.5000 0.5000
# Spin magnetization   0.674 μB/cell

---

<Q>
# GGA-PBE LaTc3Mo, relaxed
data_LaTc3Mo
_chemical_formula_sum 'La1 Tc3 Mo1'
_space_group_name_H-M_alt 'P m -3 m'
_space_group_IT_number 221
_space_group_name_Hall '-P 4 2 3'
_cell_length_a 4.6680
_cell_length_b 4.6680
_cell_length_c 4.6680
_cell_angle_alpha 90.00
_cell_angle_beta 90.00
_cell_angle_gamma 90.00
loop_
_atom_site_label
_atom_site_type_symbol
_atom_site_fract_x
_atom_site_fract_y
_atom_site_fract_z
La1 La 0.0000 0.0000 0.0000
Tc1 Tc 0.0000 0.0000 0.5000
Mo1 Mo 0.5000 0.5000 0.5000
# Spin magnetization   0.000 μB/cell

---

It is <P> that is the most stable of them.

---

<P>
# GGA-PBE LaTe3Mo, relaxed
data_LaTe3Mo
_chemical_formula_sum 'La1 Te3 Mo1'
_space_group_name_H-M_alt 'P m -3 m'
_space_group_IT_number 221
_space_group_name_Hall '-P 4 2 3'
_cell_length_a 6.1086
_cell_length_b 6.1086
_cell_length_c 6.1086
_cell_angle_alpha 90.00
_cell_angle_beta 90.00
_cell_angle_gamma 90.00
loop_
_atom_site_label
_atom_site_type_symbol
_atom_site_fract_x
_atom_site_fract_y
_atom_site_fract_z
La1 La 0.0000 0.0000 0.0000
Te1 Te 0.0000 0.0000 0.5000
Mo1 Mo 0.5000 0.5000 0.5000
# Spin magnetization   3.695 μB/cell

---

<Q>
# GGA-PBE LaTe3Mo, relaxed
data_LaTe3Mo
_chemical_formula_sum 'La1 Te3 Mo1'
_space_group_name_H-M_alt 'P m -3 m'
_space_group_IT_number 221
_space_group_name_Hall '-P 4 2 3'
_cell_length_a 5.3910
_cell_length_b 5.3910
_cell_length_c 5.3910
_cell_angle_alpha 90.00
_cell_angle_beta 90.00
_cell_angle_gamma 90.00
loop_
_atom_site_label
_atom_site_type_symbol
_atom_site_fract_x
_atom_site_fract_y
_atom_site_fract_z
La1 La 0.0000 0.0000 0.0000
Te1 Te 0.0000 0.5000 0.5000
Mo1 Mo 0.5000 0.5000 0.5000
# Spin magnetization   2.798 μB/cell

---

It is <Q> that is the most stable of them.

---

<P>
# GGA-PBE La2TiMo, relaxed
data_La2TiMo
_chemical_formula_sum 'La8 Ti4 Mo4'
_space_group_name_H-M_alt 'I -4 2 d'
_space_group_IT_number 122
_space_group_name_Hall 'I -4 2bw'
_cell_length_a 8.3892
_cell_length_b 8.3892
_cell_length_c 5.9107
_cell_angle_alpha 90.00
_cell_angle_beta 90.00
_cell_angle_gamma 90.00
loop_
_atom_site_label
_atom_site_type_symbol
_atom_site_fract_x
_atom_site_fract_y
_atom_site_fract_z
La1 La 0.1973 0.2500 0.1250
Ti1 Ti 0.0000 0.0000 0.5000
Mo1 Mo 0.0000 0.0000 0.0000
# Spin magnetization   3.628 μB/cell

---

<Q>
# GGA-PBE La2TiMo, relaxed
data_La2TiMo
_chemical_formula_sum 'La8 Ti4 Mo4'
_space_group_name_H-M_alt 'F m -3 m'
_space_group_IT_number 225
_space_group_name_Hall '-F 4 2 3'
_cell_length_a 7.3454
_cell_length_b 7.3454
_cell_length_c 7.3454
_cell_angle_alpha 90.00
_cell_angle_beta 90.00
_cell_angle_gamma 90.00
loop_
_atom_site_label
_atom_site_type_symbol
_atom_site_fract_x
_atom_site_fract_y
_atom_site_fract_z
La1 La 0.2500 0.2500 0.2500
Ti1 Ti 0.0000 0.0000 0.0000
Mo1 Mo 0.0000 0.0000 0.5000
# Spin magnetization   4.168 μB/cell

---

It is <Q> that is the most stable of them.

---

<P>
# GGA-PBE LaTl2Mo, relaxed
data_LaTl2Mo
_chemical_formula_sum 'La1 Tl2 Mo1'
_space_group_name_H-M_alt 'P m m m'
_space_group_IT_number 47
_space_group_name_Hall '-P 2 2'
_cell_length_a 3.2606
_cell_length_b 4.1821
_cell_length_c 7.1447
_cell_angle_alpha 90.00
_cell_angle_beta 90.00
_cell_angle_gamma 90.00
loop_
_atom_site_label
_atom_site_type_symbol
_atom_site_fract_x
_atom_site_fract_y
_atom_site_fract_z
La1 La 0.0000 0.0000 0.0000
Tl1 Tl 0.5000 0.5000 0.2897
Mo1 Mo 0.0000 0.0000 0.5000
# Spin magnetization   0.766 μB/cell

---

<Q>
# GGA-PBE LaTl2Mo, relaxed
data_LaTl2Mo
_chemical_formula_sum 'La4 Tl8 Mo4'
_space_group_name_H-M_alt 'I -4 2 d'
_space_group_IT_number 122
_space_group_name_Hall 'I -4 2bw'
_cell_length_a 4.4378
_cell_length_b 4.4378
_cell_length_c 21.8896
_cell_angle_alpha 90.00
_cell_angle_beta 90.00
_cell_angle_gamma 90.00
loop_
_atom_site_label
_atom_site_type_symbol
_atom_site_fract_x
_atom_site_fract_y
_atom_site_fract_z
La1 La 0.0000 0.0000 0.0000
Tl1 Tl 0.2149 0.2500 0.6250
Mo1 Mo 0.0000 0.0000 0.5000
# Spin magnetization   0.003 μB/cell

---

It is <P> that is the most stable of them.